Mg2NiH2: optimized geometry, PBE.

The calculation puts the total moment at 0.0 Bohr magnetons per cell. Its total energy is -3.26 eV/atom. The distance to the lowest polymorph of the same formula comes out at 0.0 meV per atom.

It has space group P4_2/mnm (No. 136), with a = 4.443 Å, b = 4.443 Å, c = 6.274 Å, α = 90.00°, β = 90.00° and γ = 90.00°. The inequivalent atoms are Mg at (0.000, 0.500, 0.250), Ni at (0.000, 0.000, 0.000) and H at (0.243, 0.243, 0.000).

***

Pu2Ga3SnAu4: optimized geometry, PBE.

The calculation puts the total moment at 11.5 Bohr magnetons per cell. Its total energy is -5.87 eV/atom.

It has space group P-4m2 (No. 115), with a = 4.369 Å, b = 4.369 Å, c = 11.284 Å, α = 90.00°, β = 90.00° and γ = 90.00°. The inequivalent atoms are Pu at (0.000, 0.500, 0.235), Ga at (0.000, 0.500, 0.871), Ga at (0.500, 0.500, 0.500), Sn at (0.000, 0.000, 0.500), Au at (0.000, 0.000, 0.000), Au at (0.000, 0.500, 0.650) and Au at (0.500, 0.500, 0.000).

***

La2Zn2Si: optimized geometry, PBE.

The calculation puts the total moment at 0.0 Bohr magnetons per cell. Its formation energy without anion corrections is -0.25 eV per atom. Its total energy is -3.82 eV/atom. The distance to the lowest polymorph of the same formula comes out at 229.0 meV per atom.

It has space group I4/mmm (No. 139), with a = 3.646 Å, b = 3.646 Å, c = 18.781 Å, α = 90.00°, β = 90.00° and γ = 90.00°. The inequivalent atoms are La at (0.000, 0.000, 0.098), Zn at (0.000, 0.500, 0.250) and Si at (0.000, 0.000, 0.500).

***

TmThTc: optimized geometry, PBE.

The calculation puts the total moment at 0.0 Bohr magnetons per cell. Its total energy is -7.53 eV/atom. The distance to the lowest polymorph of the same formula comes out at 11.6 meV per atom.

It has space group I4mm (No. 107), with a = 3.464 Å, b = 3.464 Å, c = 12.755 Å, α = 90.00°, β = 90.00° and γ = 90.00°. The inequivalent atoms are Tm at (0.000, 0.000, 0.000), Th at (0.000, 0.000, 0.265) and Tc at (0.000, 0.000, 0.635).

***

CsTiCl3: optimized geometry, PBE.

The calculation puts the total moment at 2.0 Bohr magnetons per cell. Its formation energy without anion corrections is -1.61 eV per atom. Its total energy is -4.47 eV/atom. The distance to the lowest polymorph of the same formula comes out at 87.6 meV per atom.

It has space group Pm-3m (No. 221), with a = 5.093 Å, b = 5.093 Å, c = 5.093 Å, α = 90.00°, β = 90.00° and γ = 90.00°. The inequivalent atoms are Cs at (0.000, 0.000, 0.000), Ti at (0.500, 0.500, 0.500) and Cl at (0.000, 0.500, 0.500).

***

Cs2I2Br3: optimized geometry, PBE.

The calculation puts the total moment at 1.8 Bohr magnetons per cell. Its formation energy without anion corrections is -0.97 eV per atom. Its total energy is -2.37 eV/atom.

It has space group C2/m (No. 12), with a = 22.069 Å, b = 5.412 Å, c = 6.810 Å, α = 90.00°, β = 107.00° and γ = 90.00°. The inequivalent atoms are Cs at (0.129, 0.000, 0.006), I at (0.097, 0.500, 0.399), Br at (0.000, 0.500, 0.000) and Br at (0.197, 0.500, 0.786).

***

K2HAu: optimized geometry, PBE.

The calculation puts the total moment at 0.0 Bohr magnetons per cell. Its total energy is -2.44 eV/atom. The distance to the lowest polymorph of the same formula comes out at 0.0 meV per atom.

It has space group Cmcm (No. 63), with a = 4.428 Å, b = 23.328 Å, c = 4.543 Å, α = 90.00°, β = 90.00° and γ = 90.00°. The inequivalent atoms are K at (0.000, 0.077, 0.250), K at (0.000, 0.308, 0.250), H at (0.000, 0.194, 0.250) and Au at (0.000, 0.460, 0.250).

***

Hf2PaIn: optimized geometry, PBE.

The calculation puts the total moment at 0.0 Bohr magnetons per cell. Its total energy is -8.07 eV/atom. The distance to the lowest polymorph of the same formula comes out at 0.0 meV per atom.

It has space group P4/mmm (No. 123), with a = 4.694 Å, b = 4.694 Å, c = 4.149 Å, α = 90.00°, β = 90.00° and γ = 90.00°. The inequivalent atoms are Hf at (0.000, 0.500, 0.000), Pa at (0.000, 0.000, 0.500) and In at (0.500, 0.500, 0.500).

***

Number 7 is which compound? K2HAu